VASP calculation (PBE) on a relaxed ReHCl6 crystal.

Computed properties:
The calculation puts the magnetization at 2.0 μB per formula unit. The total energy is -31.2 eV per cell. Its calculated density is 2.99 g/cm³.

```
data_ReHCl6
_chemical_formula_sum 'Re1 H1 Cl6'
_cell_length_a 6.879
_cell_length_b 6.520
_cell_length_c 9.471
_cell_angle_alpha 49.84
_cell_angle_beta 43.75
_cell_angle_gamma 67.34
_symmetry_space_group_name_H-M 'P 1'
_symmetry_Int_Tables_number 1
_symmetry_space_group_name_Hall 'P 1'
loop_
_atom_site_label
_atom_site_type_symbol
_atom_site_fract_x
_atom_site_fract_y
_atom_site_fract_z
Re1 Re 0.000 0.000 0.000
H1 H 0.500 0.500 0.500
Cl1 Cl 0.196 0.450 0.615
Cl2 Cl 0.850 0.885 0.905
Cl3 Cl 0.577 0.151 0.200
Cl4 Cl 0.150 0.115 0.095
Cl5 Cl 0.804 0.550 0.385
Cl6 Cl 0.423 0.849 0.800
```

VASP calculation (PBE) on a relaxed Nd2TeP crystal.

Computed properties:
The calculation puts the magnetization at 0.0 μB per formula unit. The total energy is -24.4 eV per cell. The formation energy (no corrections) is -1.5749 eV/atom. For the energy above the most stable polymorph in this dataset, the calculation gives 0 meV/atom. Its calculated density is 6.45 g/cm³.

```
data_Nd2TeP
_chemical_formula_sum 'Nd2 Te1 P1'
_cell_length_a 4.259
_cell_length_b 4.259
_cell_length_c 7.732
_cell_angle_alpha 90.02
_cell_angle_beta 105.97
_cell_angle_gamma 120.00
_symmetry_space_group_name_H-M 'P 1'
_symmetry_Int_Tables_number 1
_symmetry_space_group_name_Hall 'P 1'
loop_
_atom_site_label
_atom_site_type_symbol
_atom_site_fract_x
_atom_site_fract_y
_atom_site_fract_z
Nd1 Nd 0.525 0.262 0.787
Nd2 Nd 0.475 0.738 0.213
Te1 Te 0.000 0.500 0.500
P1 P 0.000 0.000 0.000
```

VASP calculation (PBE) on a relaxed NiAgCl2 crystal.

Computed properties:
The calculation puts the magnetization at 1.0 μB per formula unit. The total energy is -26.3 eV per cell. The formation energy (no corrections) is -0.2089 eV/atom. For the energy above the most stable polymorph in this dataset, the calculation gives 80 meV/atom. Its calculated density is 4.34 g/cm³.

```
data_NiAgCl2
_chemical_formula_sum 'Ni2 Ag2 Cl4'
_cell_length_a 5.783
_cell_length_b 5.783
_cell_length_c 6.800
_cell_angle_alpha 64.84
_cell_angle_beta 64.84
_cell_angle_gamma 90.00
_symmetry_space_group_name_H-M 'P 1'
_symmetry_Int_Tables_number 1
_symmetry_space_group_name_Hall 'P 1'
loop_
_atom_site_label
_atom_site_type_symbol
_atom_site_fract_x
_atom_site_fract_y
_atom_site_fract_z
Ni1 Ni 0.500 0.500 0.000
Ni2 Ni 0.250 0.750 0.500
Ag1 Ag 0.000 0.000 0.000
Ag2 Ag 0.750 0.250 0.500
Cl1 Cl 0.572 0.125 0.250
Cl2 Cl 0.178 0.625 0.250
Cl3 Cl 0.375 0.428 0.750
Cl4 Cl 0.875 0.822 0.750
```

VASP calculation (PBE) on a relaxed CsP2Ru2 crystal.

Computed properties:
The calculation puts the magnetization at 0.0 μB per formula unit. The value obtained for the formation energy from the elements is -0.632 eV per atom. The total energy is -33.4 eV per cell. Its calculated density is 5.66 g/cm³.

```
data_CsP2Ru2
_chemical_formula_sum 'Cs1 P2 Ru2'
_cell_length_a 4.067
_cell_length_b 4.067
_cell_length_c 7.606
_cell_angle_alpha 105.51
_cell_angle_beta 105.51
_cell_angle_gamma 90.00
_symmetry_space_group_name_H-M 'P 1'
_symmetry_Int_Tables_number 1
_symmetry_space_group_name_Hall 'P 1'
loop_
_atom_site_label
_atom_site_type_symbol
_atom_site_fract_x
_atom_site_fract_y
_atom_site_fract_z
Cs1 Cs 0.000 0.000 0.000
Ru1 Ru 0.250 0.750 0.500
Ru2 Ru 0.750 0.250 0.500
P1 P 0.329 0.329 0.658
P2 P 0.671 0.671 0.342
```

VASP calculation (PBE) on a relaxed OsRuCl crystal.

Computed properties:
The calculation puts the magnetization at 1.0 μB per formula unit. The total energy is -19.9 eV per cell. The formation energy (no corrections) is 0.8029 eV/atom. For the energy above the most stable polymorph in this dataset, the calculation gives 307 meV/atom. Its calculated density is 11.66 g/cm³.

```
data_OsRuCl
_chemical_formula_sum 'Os1 Ru1 Cl1'
_cell_length_a 7.091
_cell_length_b 6.773
_cell_length_c 2.879
_cell_angle_alpha 84.28
_cell_angle_beta 71.90
_cell_angle_gamma 23.82
_symmetry_space_group_name_H-M 'P 1'
_symmetry_Int_Tables_number 1
_symmetry_space_group_name_Hall 'P 1'
loop_
_atom_site_label
_atom_site_type_symbol
_atom_site_fract_x
_atom_site_fract_y
_atom_site_fract_z
Cl1 Cl 0.997 0.997 0.003
Os1 Os 0.672 0.672 0.328
Ru1 Ru 0.331 0.331 0.669
```

VASP calculation (PBE) on a relaxed CaGePd3 crystal.

Computed properties:
The calculation puts the magnetization at 0.0 μB per formula unit. The value obtained for the formation energy from the elements is -0.425 eV per atom. The total energy is -24.3 eV per cell. For the energy above the most stable polymorph in this dataset, the calculation gives 197 meV/atom. Its calculated density is 6.82 g/cm³.

```
data_CaGePd3
_chemical_formula_sum 'Ca1 Ge1 Pd3'
_cell_length_a 4.721
_cell_length_b 4.721
_cell_length_c 4.721
_cell_angle_alpha 90.00
_cell_angle_beta 90.00
_cell_angle_gamma 90.00
_symmetry_space_group_name_H-M 'P 1'
_symmetry_Int_Tables_number 1
_symmetry_space_group_name_Hall 'P 1'
loop_
_atom_site_label
_atom_site_type_symbol
_atom_site_fract_x
_atom_site_fract_y
_atom_site_fract_z
Ge1 Ge 0.000 0.000 0.000
Ca1 Ca 0.500 0.500 0.500
Pd1 Pd 0.000 0.500 0.000
Pd2 Pd 0.000 0.000 0.500
Pd3 Pd 0.500 0.000 0.000
```

VASP calculation (PBE) on a relaxed InHSe crystal.

Computed properties:
The calculation puts the magnetization at 0.0 μB per formula unit. The total energy is -40.7 eV per cell. Its calculated density is 4.39 g/cm³.

```
data_InHSe
_chemical_formula_sum 'In4 H4 Se4'
_cell_length_a 6.643
_cell_length_b 6.630
_cell_length_c 6.793
_cell_angle_alpha 79.93
_cell_angle_beta 90.00
_cell_angle_gamma 90.00
_symmetry_space_group_name_H-M 'P 1'
_symmetry_Int_Tables_number 1
_symmetry_space_group_name_Hall 'P 1'
loop_
_atom_site_label
_atom_site_type_symbol
_atom_site_fract_x
_atom_site_fract_y
_atom_site_fract_z
In1 In 0.941 0.224 0.814
In2 In 0.441 0.276 0.186
In3 In 0.059 0.776 0.186
In4 In 0.559 0.724 0.814
H1 H 0.592 0.133 0.365
H2 H 0.092 0.367 0.635
H3 H 0.408 0.867 0.635
H4 H 0.908 0.633 0.365
Se1 Se 0.554 0.320 0.802
Se2 Se 0.054 0.180 0.198
Se3 Se 0.446 0.680 0.198
Se4 Se 0.946 0.820 0.802
```

VASP calculation (PBE) on a relaxed LaMg2 crystal.

Computed properties:
The calculation puts the magnetization at 0.0 μB per formula unit. The value obtained for the formation energy from the elements is 0.041 eV per atom. The total energy is -8.0 eV per cell. Its calculated density is 3.74 g/cm³.

```
data_LaMg2
_chemical_formula_sum 'La1 Mg2'
_cell_length_a 3.328
_cell_length_b 3.328
_cell_length_c 8.676
_cell_angle_alpha 90.00
_cell_angle_beta 90.00
_cell_angle_gamma 120.00
_symmetry_space_group_name_H-M 'P 1'
_symmetry_Int_Tables_number 1
_symmetry_space_group_name_Hall 'P 1'
loop_
_atom_site_label
_atom_site_type_symbol
_atom_site_fract_x
_atom_site_fract_y
_atom_site_fract_z
La1 La 0.000 0.000 0.000
Mg1 Mg 0.667 0.333 0.652
Mg2 Mg 0.333 0.667 0.348
```

Respective volume values: 27.73 28.79 22.71 23.30 15.51 21.05 24.55 27.74 Å³ per atom.